1) VASP calculation (PBE-GGA) on an optimized crystal structure of BaTl7. Values from VASP.

```
&SYSTEM
  ibrav = 0, nat = 8, ntyp = 2
/
ATOMIC_SPECIES
Ba 137.33 Ba.upf
Tl 204.38 Tl.upf
ATOMIC_POSITIONS angstrom
Ba 0.000 0.000 0.000
Tl -8.041 -7.643 -2.131
Tl -2.682 -2.469 -0.745
Tl -3.869 -5.484 -0.259
Tl -3.500 -4.215 -3.509
Tl -7.223 -5.897 0.633
Tl -4.792 -7.441 -3.003
Tl -5.931 -2.671 0.128
CELL_PARAMETERS angstrom
-2.985 0.855 -2.358
-1.098 -7.243 -4.405
-6.641 -3.724 3.887
```

Properties
Spin magnetization = 0.00 μB per formula unit
ρ = 9.8 Mg/m³

=====

2) VASP calculation (PBE-GGA) on an optimized crystal structure of BaTl7. Values from VASP.

```
&SYSTEM
  ibrav = 0, nat = 8, ntyp = 2
/
ATOMIC_SPECIES
Ba 137.33 Ba.upf
Tl 204.38 Tl.upf
ATOMIC_POSITIONS angstrom
Ba 0.000 0.000 0.000
Tl 5.368 3.099 0.000
Tl 5.368 1.033 2.922
Tl 3.578 4.132 2.922
Tl 3.578 0.000 0.000
Tl 1.789 3.099 0.000
Tl 1.789 1.033 2.922
Tl 7.157 4.132 2.922
CELL_PARAMETERS angstrom
7.157 0.000 0.000
3.578 6.198 0.000
3.578 2.066 5.844
```

Properties
Spin magnetization = 0.00 μB per formula unit
ρ = 10.0 Mg/m³

=====

Least stable structure: 1)

=====

1) VASP calculation (PBE-GGA) on an optimized crystal structure of Ba2TlV. Values from VASP.

```
&SYSTEM
  ibrav = 0, nat = 8, ntyp = 3
/
ATOMIC_SPECIES
Tl 204.38 Tl.upf
Ba 137.33 Ba.upf
V 50.94 V.upf
ATOMIC_POSITIONS angstrom
Tl 0.000 0.000 0.000
Tl 9.343 4.672 1.676
Ba 6.763 2.336 0.838
Ba 2.580 7.007 0.838
Ba 7.007 7.251 2.514
Ba 11.679 11.435 2.514
V 4.672 4.672 0.000
V 4.672 9.343 1.676
CELL_PARAMETERS angstrom
9.343 0.000 0.000
0.000 9.343 0.000
4.672 4.672 3.352
```

Properties
Spin magnetization = 3.17 μB per formula unit
ρ = 6.0 Mg/m³

=====

2) VASP calculation (PBE-GGA) on an optimized crystal structure of Ba2TlV. Values from VASP.

```
&SYSTEM
  ibrav = 0, nat = 4, ntyp = 3
/
ATOMIC_SPECIES
Tl 204.38 Tl.upf
Ba 137.33 Ba.upf
V 50.94 V.upf
ATOMIC_POSITIONS angstrom
Tl 1.591 -5.958 -3.867
Ba 0.796 -2.979 -1.934
Ba 2.387 -8.938 -5.801
V 0.000 0.000 0.000
CELL_PARAMETERS angstrom
3.053 -5.099 -0.022
-2.266 -4.810 -2.657
2.395 -2.008 -5.055
```

Properties
Spin magnetization = 3.86 μB per formula unit
ρ = 5.9 Mg/m³

=====

Least stable structure: 1)

=====

1) VASP calculation (PBE-GGA) on an optimized crystal structure of BaTlV3. Values from VASP.

```
&SYSTEM
  ibrav = 0, nat = 5, ntyp = 3
/
ATOMIC_SPECIES
Tl 204.38 Tl.upf
Ba 137.33 Ba.upf
V 50.94 V.upf
ATOMIC_POSITIONS angstrom
Tl 0.000 0.000 0.000
Ba 2.672 2.672 2.672
V 0.000 2.672 0.000
V 0.000 0.000 2.672
V 2.672 0.000 0.000
CELL_PARAMETERS angstrom
5.344 0.000 0.000
0.000 5.344 0.000
0.000 0.000 5.344
```

Properties
Spin magnetization = 11.60 μB per formula unit
ρ = 5.4 Mg/m³

=====

2) VASP calculation (PBE-GGA) on an optimized crystal structure of BaTlV3. Values from VASP.

```
&SYSTEM
  ibrav = 0, nat = 5, ntyp = 3
/
ATOMIC_SPECIES
Tl 204.38 Tl.upf
Ba 137.33 Ba.upf
V 50.94 V.upf
ATOMIC_POSITIONS angstrom
Tl 2.424 2.424 2.424
Ba 0.000 0.000 0.000
V 0.000 2.424 0.000
V 0.000 0.000 2.424
V 2.424 0.000 0.000
CELL_PARAMETERS angstrom
4.849 0.000 0.000
0.000 4.849 0.000
0.000 0.000 4.849
```

Properties
Spin magnetization = 0.44 μB per formula unit
ρ = 7.2 Mg/m³

=====

Least stable structure: 2)

=====

1) VASP calculation (PBE-GGA) on an optimized crystal structure of BaTlW2. Values from VASP.

```
&SYSTEM
  ibrav = 0, nat = 4, ntyp = 3
/
ATOMIC_SPECIES
Tl 204.38 Tl.upf
Ba 137.33 Ba.upf
W 183.84 W.upf
ATOMIC_POSITIONS angstrom
Tl -1.239 -0.352 2.444
Ba 3.077 -0.418 2.739
W -6.450 -0.303 2.070
W 0.554 1.987 1.595
CELL_PARAMETERS angstrom
-0.282 -2.728 3.486
6.815 1.907 2.030
-6.788 2.438 -1.456
```

Properties
Spin magnetization = 0.00 μB per formula unit
ρ = 10.2 Mg/m³

=====

2) VASP calculation (PBE-GGA) on an optimized crystal structure of BaTlW2. Values from VASP.

```
&SYSTEM
  ibrav = 0, nat = 4, ntyp = 3
/
ATOMIC_SPECIES
Tl 204.38 Tl.upf
Ba 137.33 Ba.upf
W 183.84 W.upf
ATOMIC_POSITIONS angstrom
Tl 0.951 1.440 8.241
Ba 0.000 0.000 5.062
W 0.000 0.000 0.290
W 0.951 1.440 2.128
CELL_PARAMETERS angstrom
3.130 0.000 0.000
-1.227 2.879 0.000
0.000 0.000 10.481
```

Properties
Spin magnetization = 0.00 μB per formula unit
ρ = 12.5 Mg/m³

=====

Least stable structure: 2)

=====

1) VASP calculation (PBE-GGA) on an optimized crystal structure of BaTlW2. Values from VASP.

```
&SYSTEM
  ibrav = 0, nat = 4, ntyp = 3
/
ATOMIC_SPECIES
Tl 204.38 Tl.upf
Ba 137.33 Ba.upf
W 183.84 W.upf
ATOMIC_POSITIONS angstrom
Tl 3.007 2.412 4.549
Ba 3.007 0.804 1.516
W 0.000 3.159 0.569
W 0.000 1.682 2.408
CELL_PARAMETERS angstrom
6.015 0.000 0.000
0.000 3.233 -0.056
0.000 -0.018 6.122
```

Properties
Spin magnetization = 0.00 μB per formula unit
ρ = 9.9 Mg/m³

=====

2) VASP calculation (PBE-GGA) on an optimized crystal structure of BaTlW2. Values from VASP.

```
&SYSTEM
  ibrav = 0, nat = 4, ntyp = 3
/
ATOMIC_SPECIES
Tl 204.38 Tl.upf
Ba 137.33 Ba.upf
W 183.84 W.upf
ATOMIC_POSITIONS angstrom
Tl 2.795 0.911 1.541
Ba 8.385 2.732 4.624
W 9.938 3.238 0.743
W 5.646 1.840 2.337
CELL_PARAMETERS angstrom
5.526 0.005 -0.001
4.468 3.252 -0.001
1.187 0.387 6.167
```

Properties
Spin magnetization = 0.00 μB per formula unit
ρ = 10.6 Mg/m³

=====

Least stable structure: 1)

=====

1) VASP calculation (PBE-GGA) on an optimized crystal structure of BaTlW2. Values from VASP.

```
&SYSTEM
  ibrav = 0, nat = 4, ntyp = 3
/
ATOMIC_SPECIES
Tl 204.38 Tl.upf
Ba 137.33 Ba.upf
W 183.84 W.upf
ATOMIC_POSITIONS angstrom
Tl 3.502 3.502 3.502
Ba 0.000 0.000 0.000
W 1.751 1.751 1.751
W 5.254 5.254 5.254
CELL_PARAMETERS angstrom
0.000 3.502 3.502
3.502 0.000 3.502
3.502 3.502 0.000
```

Properties
Spin magnetization = 0.00 μB per formula unit
ρ = 13.7 Mg/m³

=====

2) VASP calculation (PBE-GGA) on an optimized crystal structure of BaTlW2. Values from VASP.

```
&SYSTEM
  ibrav = 0, nat = 4, ntyp = 3
/
ATOMIC_SPECIES
Tl 204.38 Tl.upf
Ba 137.33 Ba.upf
W 183.84 W.upf
ATOMIC_POSITIONS angstrom
Tl 1.178 6.963 4.069
Ba -0.419 2.264 2.190
W 3.097 9.112 3.644
W 1.695 4.987 1.994
CELL_PARAMETERS angstrom
-2.786 1.027 -0.201
0.351 -1.199 2.701
3.194 9.399 3.759
```

Properties
Spin magnetization = 0.00 μB per formula unit
ρ = 13.2 Mg/m³

=====

Least stable structure: 1)

=====

1) VASP calculation (PBE-GGA) on an optimized crystal structure of BaTlW2. Values from VASP.

```
&SYSTEM
  ibrav = 0, nat = 4, ntyp = 3
/
ATOMIC_SPECIES
Tl 204.38 Tl.upf
Ba 137.33 Ba.upf
W 183.84 W.upf
ATOMIC_POSITIONS angstrom
Tl 0.161 4.504 4.128
Ba -1.399 1.670 2.428
W 2.831 5.143 3.085
W 1.849 3.359 2.015
CELL_PARAMETERS angstrom
-2.865 1.865 -0.480
-1.494 -1.359 3.635
3.120 5.668 3.400
```

Properties
Spin magnetization = 0.00 μB per formula unit
ρ = 11.2 Mg/m³

=====

2) VASP calculation (PBE-GGA) on an optimized crystal structure of BaTlW2. Values from VASP.

```
&SYSTEM
  ibrav = 0, nat = 8, ntyp = 3
/
ATOMIC_SPECIES
Tl 204.38 Tl.upf
Ba 137.33 Ba.upf
W 183.84 W.upf
ATOMIC_POSITIONS angstrom
Tl 0.000 0.000 0.000
Tl -0.071 3.070 9.154
Ba 0.299 -0.154 6.029
Ba 3.336 -1.907 8.858
W -0.950 2.954 6.439
W 2.733 -2.450 5.582
W 2.060 1.215 8.733
W 2.688 0.607 15.270
CELL_PARAMETERS angstrom
-3.108 4.822 6.326
3.707 -5.131 5.733
2.666 1.471 5.953
```

Properties
Spin magnetization = 0.00 μB per formula unit
ρ = 11.2 Mg/m³

=====

Least stable structure: 2)

=====

1) VASP calculation (PBE-GGA) on an optimized crystal structure of BaTlW2. Values from VASP.

```
&SYSTEM
  ibrav = 0, nat = 4, ntyp = 3
/
ATOMIC_SPECIES
Tl 204.38 Tl.upf
Ba 137.33 Ba.upf
W 183.84 W.upf
ATOMIC_POSITIONS angstrom
Tl -2.906 -7.238 -2.242
Ba -0.404 -2.653 -1.991
W -4.840 -8.869 -0.484
W -2.667 -4.886 -0.267
CELL_PARAMETERS angstrom
-0.772 0.573 -2.781
2.466 -1.294 -0.951
-5.004 -9.170 -0.501
```

Properties
Spin magnetization = 0.00 μB per formula unit
ρ = 13.0 Mg/m³

=====

2) VASP calculation (PBE-GGA) on an optimized crystal structure of BaTlW2. Values from VASP.

```
&SYSTEM
  ibrav = 0, nat = 4, ntyp = 3
/
ATOMIC_SPECIES
Tl 204.38 Tl.upf
Ba 137.33 Ba.upf
W 183.84 W.upf
ATOMIC_POSITIONS angstrom
Tl -1.344 2.227 2.085
Ba -1.888 -0.720 2.651
W 0.000 0.000 0.000
W 1.287 0.291 2.750
CELL_PARAMETERS angstrom
-4.518 1.217 1.985
0.742 -2.656 3.316
1.831 3.238 2.184
```

Properties
Spin magnetization = 0.00 μB per formula unit
ρ = 12.5 Mg/m³

=====

3) VASP calculation (PBE-GGA) on an optimized crystal structure of BaTlW2. Values from VASP.

```
&SYSTEM
  ibrav = 0, nat = 4, ntyp = 3
/
ATOMIC_SPECIES
Tl 204.38 Tl.upf
Ba 137.33 Ba.upf
W 183.84 W.upf
ATOMIC_POSITIONS angstrom
Tl -8.063 -3.224 -0.809
Ba -4.642 -2.665 0.287
W -1.197 -3.056 -1.057
W -2.228 -0.695 -1.562
CELL_PARAMETERS angstrom
-0.992 1.409 -2.952
-0.815 -3.095 -1.204
-8.734 -2.208 1.880
```

Properties
Spin magnetization = 0.00 μB per formula unit
ρ = 11.8 Mg/m³

=====

4) VASP calculation (PBE-GGA) on an optimized crystal structure of BaTlW2. Values from VASP.

```
&SYSTEM
  ibrav = 0, nat = 4, ntyp = 3
/
ATOMIC_SPECIES
Tl 204.38 Tl.upf
Ba 137.33 Ba.upf
W 183.84 W.upf
ATOMIC_POSITIONS angstrom
Tl 2.268 0.836 1.394
Ba 4.525 1.668 3.982
W 0.902 0.333 7.308
W 6.656 2.454 6.399
CELL_PARAMETERS angstrom
4.600 -0.003 -0.002
3.497 2.988 -0.002
0.882 0.325 7.636
```

Properties
Spin magnetization = 0.00 μB per formula unit
ρ = 11.2 Mg/m³

=====

Least stable structure: 2)